[1]
PdPbBr2: optimized geometry, PBE-GGA.

Cell lengths 5.182, 5.182, 5.182 Å; angles 60.00, 60.00, 60.00 degrees
Atoms (fractional coordinates):
Pd 0.000 0.000 0.000
Pb 0.500 0.500 0.500
Br 0.250 0.250 0.250
Br 0.750 0.750 0.750

Values from the calculation:
The value obtained for the energy above the lowest structure with this stoichiometry is 9 meV per atom. As for the theoretical density: 8.0 g cm⁻³.

=====

[2]
RePdPbBr2: optimized geometry, PBE-GGA.

Cell lengths 4.833, 4.833, 5.819 Å; angles 90.00, 90.00, 90.00 degrees
Atoms (fractional coordinates):
Re 0.000 0.000 0.000
Pd 0.500 0.500 0.500
Pb 0.000 0.000 0.500
Br 0.000 0.500 0.000
Br 0.500 0.000 0.000

Values from the calculation:
As for the electronic total energy: -0.2972 Ry per atom. As for the theoretical density: 8.1 g cm⁻³.

=====

[3]
PdPbSe2Br: optimized geometry, PBE-GGA.

Cell lengths 5.023, 5.023, 5.124 Å; angles 90.00, 90.00, 90.00 degrees
Atoms (fractional coordinates):
Pd 0.000 0.000 0.000
Pb 0.500 0.500 0.500
Se 0.000 0.500 0.000
Se 0.500 0.000 0.000
Br 0.000 0.000 0.500

Values from the calculation:
The value obtained for the energy above the lowest structure with this stoichiometry is 0 meV per atom. As for the theoretical density: 7.1 g cm⁻³.

=====

[4]
PdPbSeBr2: optimized geometry, PBE-GGA.

Cell lengths 5.078, 5.078, 5.188 Å; angles 90.00, 90.00, 90.00 degrees
Atoms (fractional coordinates):
Pd 0.000 0.000 0.000
Pb 0.500 0.500 0.500
Se 0.000 0.000 0.500
Br 0.000 0.500 0.000
Br 0.500 0.000 0.000

Values from the calculation:
The value obtained for the energy above the lowest structure with this stoichiometry is 0 meV per atom. As for the theoretical density: 6.9 g cm⁻³.

=====

[5]
PdPbSe2Br: optimized geometry, PBE-GGA.

Cell lengths 5.439, 5.439, 4.711 Å; angles 90.00, 90.00, 90.00 degrees
Atoms (fractional coordinates):
Pd 0.000 0.000 0.000
Pb 0.500 0.500 0.000
Se 0.000 0.500 0.500
Se 0.500 0.000 0.500
Br 0.000 0.000 0.500

Values from the calculation:
The value obtained for the energy above the lowest structure with this stoichiometry is 551 meV per atom. As for the theoretical density: 6.6 g cm⁻³.

=====

[6]
TlPd2PbBr: optimized geometry, PBE-GGA.

Cell lengths 5.089, 5.089, 5.924 Å; angles 90.00, 90.00, 90.00 degrees
Atoms (fractional coordinates):
Tl 0.000 0.000 0.000
Pd 0.000 0.500 0.000
Pd 0.500 0.000 0.000
Pb 0.500 0.500 0.500
Br 0.000 0.000 0.500

Values from the calculation:
As for the electronic total energy: -0.2355 Ry per atom. As for the theoretical density: 7.6 g cm⁻³.

=====

[7]
Tl2PdPbBr: optimized geometry, PBE-GGA.

Cell lengths 5.424, 5.424, 5.379 Å; angles 90.00, 90.00, 90.00 degrees
Atoms (fractional coordinates):
Tl 0.000 0.500 0.000
Tl 0.500 0.000 0.000
Pd 0.000 0.000 0.000
Pb 0.000 0.000 0.500
Br 0.500 0.500 0.500

Values from the calculation:
As for the electronic total energy: -0.2449 Ry per atom. As for the theoretical density: 8.4 g cm⁻³.

=====

[8]
YPdPb2Br: optimized geometry, PBE-GGA.

Cell lengths 6.043, 6.043, 5.309 Å; angles 90.00, 90.00, 90.00 degrees
Atoms (fractional coordinates):
Y 0.000 0.000 0.000
Pd 0.500 0.500 0.500
Pb 0.000 0.500 0.000
Pb 0.500 0.000 0.000
Br 0.000 0.000 0.500

Values from the calculation:
As for the electronic total energy: -0.2767 Ry per atom. As for the theoretical density: 5.9 g cm⁻³.

=====

[9]
ZnPdPb2Br: optimized geometry, PBE-GGA.

Cell lengths 5.726, 5.726, 4.849 Å; angles 90.00, 90.00, 90.00 degrees
Atoms (fractional coordinates):
Zn 0.000 0.000 0.000
Pd 0.500 0.500 0.000
Pb 0.000 0.500 0.500
Pb 0.500 0.000 0.500
Br 0.000 0.000 0.500

Values from the calculation:
As for the electronic total energy: -0.1784 Ry per atom. As for the theoretical density: 7.0 g cm⁻³.

=====

[10]
Pm2PbBr: optimized geometry, PBE-GGA.

Cell lengths 3.618, 3.618, 8.443 Å; angles 90.00, 90.00, 90.00 degrees
Atoms (fractional coordinates):
Pm 0.000 0.000 0.246
Pm 0.000 0.000 0.754
Pb 0.500 0.500 0.500
Br 0.500 0.500 0.000

Values from the calculation:
The value obtained for the energy above the lowest structure with this stoichiometry is 99 meV per atom. As for the theoretical density: 8.7 g cm⁻³.

=====

[11]
Pm2PbBr2: optimized geometry, PBE-GGA.

Cell lengths 11.008, 11.008, 11.008 Å; angles 23.20, 23.20, 23.20 degrees
Atoms (fractional coordinates):
Pm 0.110 0.110 0.110
Pm 0.890 0.890 0.890
Pb 0.500 0.500 0.500
Br 0.276 0.276 0.276
Br 0.724 0.724 0.724

Values from the calculation:
As for the electronic total energy: -0.3361 Ry per atom. As for the theoretical density: 6.0 g cm⁻³.

=====

[12]
Pm4Pb2Br: optimized geometry, PBE-GGA.

Cell lengths 8.226, 8.226, 8.226 Å; angles 111.62, 110.31, 106.52 degrees
Atoms (fractional coordinates):
Pm 0.008 0.875 0.519
Pm 0.123 0.143 0.132
Pm 0.377 0.509 0.020
Pm 0.492 0.011 0.867
Pm 0.511 0.991 0.368
Pm 0.644 0.625 0.633
Pm 0.856 0.489 0.981
Pm 0.989 0.357 0.480
Pb 0.135 0.750 0.885
Pb 0.250 0.629 0.379
Pb 0.365 0.250 0.615
Pb 0.750 0.871 0.121
Br 0.656 0.406 0.250
Br 0.844 0.094 0.750

Values from the calculation:
The value obtained for the energy above the lowest structure with this stoichiometry is 0 meV per atom. As for the theoretical density: 8.3 g cm⁻³.

=====

What calculated volume values result from the calculations? In sequence: 98.40 135.93 129.29 133.81 139.36 153.40 158.24 193.87 159.00 110.49 181.66 427.57 Å³ per cell.